[1]
# BaSrB2Pt8

BaSrB2Pt8 after structural relaxation (PBE, OQMD).

```
BaSrB2Pt8
1.0
5.6509 0.0000 0.0000
-2.8255 4.8938 0.0000
0.0000 0.0000 7.5850
Ba Sr B Pt
1 1 2 8
direct
0.0000 0.0000 0.0000
0.0000 0.0000 0.5000
0.3333 0.6667 0.0000
0.6667 0.3333 0.0000
0.0000 0.5000 0.1987
0.0000 0.5000 0.8013
0.3333 0.6667 0.5000
0.5000 0.0000 0.1987
0.5000 0.0000 0.8013
0.5000 0.5000 0.1987
0.5000 0.5000 0.8013
0.6667 0.3333 0.5000
```

Results
- space group = P6/mmm
- ΔE to the lowest computed polymorph (meV/atom) = 56.8



[2]
# ReTe2Se3

ReTe2Se3 after structural relaxation (PBE, OQMD).

```
ReTe2Se3
1.0
7.2539 0.0000 0.0000
-1.9166 7.1660 0.0000
-2.9308 -2.2896 6.7345
Re Te Se
2 4 6
direct
0.2191 0.0097 0.0255
0.7809 0.9903 0.9745
0.2486 0.0353 0.3897
0.4685 0.7891 0.0749
0.5315 0.2109 0.9251
0.7514 0.9647 0.6103
0.0410 0.8029 0.6584
0.0536 0.2587 0.9442
0.4496 0.6713 0.7291
0.5504 0.3287 0.2709
0.9464 0.7413 0.0558
0.9590 0.1971 0.3416
```

Results
- space group = P-1
- ΔE to the lowest computed polymorph (meV/atom) = 66.2



[3]
# HfB4Pd

HfB4Pd after structural relaxation (PBE, OQMD).

```
HfB4Pd
1.0
3.1497 0.0000 0.0000
-1.5748 2.7277 0.0000
0.0000 0.0000 6.7070
Hf B Pd
1 4 1
direct
0.0000 0.0000 0.0000
0.3333 0.6667 0.2480
0.3333 0.6667 0.7520
0.6667 0.3333 0.2480
0.6667 0.3333 0.7520
0.0000 0.0000 0.5000
```

Results
- space group = P6/mmm
- ΔE to the lowest computed polymorph (meV/atom) = 0.0



[4]
# Hf2W4S3N3

Hf2W4S3N3 after structural relaxation (PBE, OQMD).

```
Hf2W4S3N3
1.0
4.8496 -2.8311 0.0000
4.8496 2.8311 0.0000
-3.1522 0.0000 11.7400
Hf W S N
4 8 6 6
direct
0.0342 0.8452 0.6037
0.1548 0.9658 0.8963
0.8452 0.0342 0.1037
0.9658 0.1548 0.3963
0.2350 0.3933 0.0992
0.3425 0.4421 0.4077
0.3933 0.2350 0.5992
0.4421 0.3425 0.9077
0.5579 0.6575 0.0923
0.6067 0.7650 0.4008
0.6575 0.5579 0.5923
0.7650 0.6067 0.9008
0.0668 0.2801 0.7453
0.2801 0.0668 0.2453
0.4251 0.5749 0.7500
0.5749 0.4251 0.2500
0.7199 0.9332 0.7547
0.9332 0.7199 0.2547
0.0000 0.5000 0.5000
0.1540 0.6963 0.0001
0.3037 0.8460 0.4999
0.5000 0.0000 0.0000
0.6963 0.1540 0.5001
0.8460 0.3037 0.9999
```

Results
- space group = C2/c
- raw total energy (eV/atom) = -9.507



Number 1: magnetic moment 0.01 μB/cell. Number 2: magnetic moment 0.02 μB/cell. Number 3: magnetic moment 0.00 μB/cell. Number 4: magnetic moment 0.01 μB/cell.